Compound: PuFeBC
Source: Alexandria
Functional: GGA-PBE
Structure: relaxed

Cell: 3.4796 3.4796 7.7745 Å, 90.00 90.00 90.00°
Closest atoms and distances in Å follow each position.
Atoms (fractional coordinates):
Pu  0.2500  0.2500  0.1696  5 C 2.35-2.48
Pu  0.7500  0.7500  0.8304  5 C 2.35-2.48
Fe  0.2500  0.7500  0.5000  4 B 2.17
Fe  0.7500  0.2500  0.5000  4 B 2.17
B  0.2500  0.2500  0.6667  1 C 1.56
B  0.7500  0.7500  0.3333  1 C 1.56
C  0.2500  0.2500  0.8671  1 B 1.56
C  0.7500  0.7500  0.1329  1 B 1.56

Computed properties:
Crystal system: tetragonal
Calculated density, g cm⁻³: 11.38
Total magnetization, Bohr magnetons per cell: 10.88



Compound: K2BaMoCl8
Source: Alexandria
Functional: GGA-PBE
Structure: relaxed

Cell: 6.3132 8.9750 7.2469 Å, 90.00 92.57 90.00°
Closest atoms and distances in Å follow each position.
Atoms (fractional coordinates):
K  0.0000  0.2413  0.0000  6 Cl 3.01-3.32
K  0.0000  0.7587  0.0000  6 Cl 3.01-3.32
Ba  0.5000  0.5000  0.5000  6 Cl 2.98-3.24
Mo  0.5000  0.0000  0.5000  6 Cl 2.36-2.43
Cl  0.1127  0.5000  0.2493  1 Ba 2.98, 2 K 3.01
Cl  0.1803  0.0000  0.3175  1 Mo 2.36
Cl  0.3651  0.1934  0.6981  1 Mo 2.43
Cl  0.3651  0.8066  0.6981  1 Mo 2.43
Cl  0.6349  0.1934  0.3019  1 Mo 2.43
Cl  0.6349  0.8066  0.3019  1 Mo 2.43
Cl  0.8197  0.0000  0.6825  1 Mo 2.36
Cl  0.8873  0.5000  0.7507  1 Ba 2.98, 2 K 3.01

Computed properties:
Crystal system: monoclinic
Formation energy (no corrections), eV/atom: -1.600
Calculated density, g cm⁻³: 2.41
Total magnetization, Bohr magnetons per cell: 2.00



Compound: Ca3TlP
Source: Alexandria
Functional: GGA-PBE
Structure: relaxed

Cell: 6.2787 5.5873 8.5148 Å, 90.00 90.00 90.00°
Closest atoms and distances in Å follow each position.
Atoms (fractional coordinates):
Ca  0.0000  0.0000  0.0000  2 P 3.00, 2 Ca 3.14
Ca  0.2500  0.0000  0.3704  1 P 2.80
Ca  0.2500  0.5000  0.7346  2 P 2.81
Ca  0.5000  0.0000  0.0000  2 P 3.00, 2 Ca 3.14
Ca  0.7500  0.0000  0.6296  1 P 2.80
Ca  0.7500  0.5000  0.2654  2 P 2.81
Tl  0.2500  0.5000  0.1282  9 Ca 3.35-3.47
Tl  0.7500  0.5000  0.8718  9 Ca 3.35-3.47
P  0.2500  0.0000  0.6996  5 Ca 2.80-3.00
P  0.7500  0.0000  0.3004  5 Ca 2.80-3.00

Computed properties:
Crystal system: orthorhombic
Calculated density, g cm⁻³: 3.95
Total magnetization, Bohr magnetons per cell: 0.00
ΔE to the lowest computed polymorph, meV/atom: 31



Compound: Dy3Y
Source: Alexandria
Functional: GGA-PBE
Structure: relaxed

Cell: 6.1526 6.1526 6.1526 Å, 131.92 131.92 70.35°
Closest atoms and distances in Å follow each position.
Atoms (fractional coordinates):
Dy  0.0000  0.0000  0.0000  4 Y 3.54, 8 Dy 3.55
Dy  0.2500  0.7500  0.5000  8 Dy 3.54-3.55, 4 Y 3.55
Dy  0.7500  0.2500  0.5000  8 Dy 3.54-3.55, 4 Y 3.55
Y  0.5000  0.5000  0.0000  12 Dy 3.54-3.55

Computed properties:
Crystal system: tetragonal
Calculated density, g cm⁻³: 7.58
Total magnetization, Bohr magnetons per cell: 0.00
ΔE to the lowest computed polymorph, meV/atom: 13



Compound: NpZnH8Ir2
Source: Alexandria
Functional: GGA-PBE
Structure: relaxed

Cell: 6.0619 6.0619 6.0619 Å, 44.74 44.74 44.74°
Closest atoms and distances in Å follow each position.
Atoms (fractional coordinates):
Np  0.0000  0.0000  0.0000  18 H 2.61-2.68
Zn  0.5000  0.5000  0.5000  6 H 1.90
H  0.1173  0.5526  0.5526  1 Ir 1.65, 1 H 1.79
H  0.3184  0.3184  0.3184  1 Ir 1.66, 3 H 1.79
H  0.4474  0.4474  0.8827  1 Ir 1.65, 1 H 1.79
H  0.4474  0.8827  0.4474  1 Ir 1.65, 1 H 1.79
H  0.5526  0.1173  0.5526  1 Ir 1.65, 1 H 1.79
H  0.5526  0.5526  0.1173  1 Ir 1.65, 1 H 1.79
H  0.6816  0.6816  0.6816  1 Ir 1.66, 3 H 1.79
H  0.8827  0.4474  0.4474  1 Ir 1.65, 1 H 1.79
Ir  0.2169  0.2169  0.2169  4 H 1.65-1.66
Ir  0.7831  0.7831  0.7831  4 H 1.65-1.66

Computed properties:
Crystal system: trigonal
Calculated density, g cm⁻³: 11.49
Total magnetization, Bohr magnetons per cell: 3.90



Compound: Dy12Tl6Pd
Source: Alexandria
Functional: GGA-PBE
Structure: relaxed

Cell: 8.6950 8.6950 8.6950 Å, 99.50 99.50 99.50°
Closest atoms and distances in Å follow each position.
Atoms (fractional coordinates):
Dy  0.0276  0.6838  0.9360  1 Pd 2.77, 1 Tl 3.08
Dy  0.0640  0.9724  0.3162  1 Pd 2.77, 1 Tl 3.08
Dy  0.1896  0.4284  0.5621  4 Tl 3.06-3.22
Dy  0.3162  0.0640  0.9724  1 Pd 2.77, 1 Tl 3.08
Dy  0.4284  0.5621  0.1896  4 Tl 3.06-3.22
Dy  0.4379  0.8104  0.5716  4 Tl 3.06-3.22
Dy  0.5621  0.1896  0.4284  4 Tl 3.06-3.22
Dy  0.5716  0.4379  0.8104  4 Tl 3.06-3.22
Dy  0.6838  0.9360  0.0276  1 Pd 2.77, 1 Tl 3.08
Dy  0.8104  0.5716  0.4379  4 Tl 3.06-3.22
Dy  0.9360  0.0276  0.6838  1 Pd 2.77, 1 Tl 3.08
Dy  0.9724  0.3162  0.0640  1 Pd 2.77, 1 Tl 3.08
Tl  0.1289  0.6334  0.3054  7 Dy 3.06-3.31
Tl  0.3054  0.1289  0.6334  7 Dy 3.06-3.31
Tl  0.3666  0.6946  0.8711  7 Dy 3.06-3.31
Tl  0.6334  0.3054  0.1289  7 Dy 3.06-3.31
Tl  0.6946  0.8711  0.3666  7 Dy 3.06-3.31
Tl  0.8711  0.3666  0.6946  7 Dy 3.06-3.31
Pd  0.0000  0.0000  0.0000  6 Dy 2.77

Computed properties:
Crystal system: trigonal
Calculated density, g cm⁻³: 8.70
Total magnetization, Bohr magnetons per cell: 0.00



Compound: KNdAl4
Source: Alexandria
Functional: GGA-PBE
Structure: relaxed

Cell: 5.7672 5.7672 5.7672 Å, 60.00 60.00 60.00°
Closest atoms and distances in Å follow each position.
Atoms (fractional coordinates):
K  0.0000  0.0000  0.0000  12 Al 3.38, 4 Nd 3.53
Nd  0.7500  0.7500  0.7500  12 Al 3.38, 4 K 3.53
Al  0.3759  0.3759  0.3759  6 Al 2.86-2.90
Al  0.3759  0.3759  0.8722  6 Al 2.86-2.90
Al  0.3759  0.8722  0.3759  6 Al 2.86-2.90
Al  0.8722  0.3759  0.3759  6 Al 2.86-2.90

Computed properties:
Crystal system: cubic
Calculated density, g cm⁻³: 3.57
Total magnetization, Bohr magnetons per cell: 0.00



Compound: Ac3GdNi
Source: Alexandria
Functional: GGA-PBE
Structure: relaxed

Cell: 5.7785 5.7785 5.7785 Å, 90.00 90.00 90.00°
Closest atoms and distances in Å follow each position.
Atoms (fractional coordinates):
Ac  0.0000  0.0000  0.5000  2 Ni 2.89
Ac  0.0000  0.5000  0.0000  2 Ni 2.89
Ac  0.5000  0.0000  0.0000  2 Ni 2.89
Gd  0.5000  0.5000  0.5000  12 Ac 4.09
Ni  0.0000  0.0000  0.0000  6 Ac 2.89

Computed properties:
Crystal system: cubic
Calculated density, g cm⁻³: 7.72
Total magnetization, Bohr magnetons per cell: 8.50



Compound: Cs2InHgCl6
Source: Alexandria
Functional: GGA-PBE
Structure: relaxed

Cell: 7.7083 7.7083 7.7083 Å, 60.00 60.00 60.00°
Closest atoms and distances in Å follow each position.
Atoms (fractional coordinates):
Cs  0.2500  0.2500  0.2500  12 Cl 3.86
Cs  0.7500  0.7500  0.7500  12 Cl 3.86
In  0.0000  0.0000  0.0000  6 Cl 2.59
Hg  0.5000  0.5000  0.5000  6 Cl 2.86
Cl  0.2372  0.2372  0.7628  1 In 2.59, 1 Hg 2.86
Cl  0.2372  0.7628  0.2372  1 In 2.59, 1 Hg 2.86
Cl  0.2372  0.7628  0.7628  1 In 2.59, 1 Hg 2.86
Cl  0.7628  0.2372  0.2372  1 In 2.59, 1 Hg 2.86
Cl  0.7628  0.2372  0.7628  1 In 2.59, 1 Hg 2.86
Cl  0.7628  0.7628  0.2372  1 In 2.59, 1 Hg 2.86

Computed properties:
Crystal system: cubic
Formation energy (no corrections), eV/atom: -1.342
Calculated density, g cm⁻³: 4.07
Total magnetization, Bohr magnetons per cell: 0.00



Compound: VTeRu
Source: Alexandria
Functional: GGA-PBE
Structure: relaxed

Cell: 5.4517 3.7343 5.5274 Å, 90.00 104.22 90.00°
Closest atoms and distances in Å follow each position.
Atoms (fractional coordinates):
V  0.1174  0.0000  0.3727  1 Ru 2.36
V  0.8826  0.5000  0.6273  1 Ru 2.36
Te  0.4089  0.5497  0.7280  3 Ru 2.69-2.89, 3 V 2.77-2.79
Te  0.5911  0.0497  0.2720  3 Ru 2.69-2.89, 3 V 2.77-2.79
Ru  0.1242  0.0572  0.8855  1 V 2.36
Ru  0.8758  0.5572  0.1145  1 V 2.36

Computed properties:
Crystal system: monoclinic
Formation energy (no corrections), eV/atom: 0.025
Calculated density, g cm⁻³: 8.51
Total magnetization, Bohr magnetons per cell: 0.00
ΔE to the lowest computed polymorph, meV/atom: 232



Calculated values (Å³/atom) of V for the records, taken in order: 11.77 34.18 29.87 31.59 8.37 32.99 22.61 38.59 32.39 18.18.
Calculated values (eV per cell) of total energy for the records, taken in order: -79.25 -48.92 -34.45 -20.20 -58.48 -75.97 -21.57 -32.11 -29.25 -42.92.